Below is an optimized crystal structure of SrTcAu2, with properties calculated at the PBE level.

a = 3.613 Å, b = 4.802 Å, c = 10.018 Å
α = 90.00°, β = 90.00°, γ = 90.00°
Space group Imm2 (No. 44)
One atom of each set of equivalent atoms:
1 Sr 0.000 0.000 0.000 x2
2 Tc 0.000 0.500 0.229 x2
3 Au 0.000 0.000 0.511 x2
4 Au 0.000 0.500 0.772 x2

formation energy: 278 meV/atom

---

Below is an optimized crystal structure of Dy12IrPd6, with properties calculated at the PBE level.

a = 12.5141 Å, b = 12.5141 Å, c = 11.8008 Å
α = 90.00°, β = 90.00°, γ = 120.00°
Space group R-3 (No. 148, hexagonal axes)
One atom of each set of equivalent atoms:
1 Dy 0.0254 0.8156 0.3905 x18
2 Dy 0.0387 0.8378 0.8799 x18
3 Ir 0.0000 0.0000 0.0000 x3
4 Pd 0.0413 0.7764 0.6441 x18

formation energy: -575 meV/atom

---

Below is an optimized crystal structure of Ca2MgTc, with properties calculated at the PBE level.

a = 4.817 Å, b = 4.817 Å, c = 8.449 Å
α = 90.00°, β = 90.00°, γ = 90.00°
Space group I4/mmm (No. 139)
One atom of each set of equivalent atoms:
1 Ca 0.000 0.500 0.250 x4
2 Mg 0.000 0.000 0.000 x2
3 Tc 0.000 0.000 0.500 x2

formation energy: 472 meV/atom

---

Below is an optimized crystal structure of Tb3Sm2Dy6Th, with properties calculated at the PBE level.

a = 6.186 Å, b = 10.701 Å, c = 11.793 Å
α = 90.00°, β = 100.04°, γ = 90.00°
Space group C2/m (No. 12)
One atom of each set of equivalent atoms:
1 Tb 0.000 0.000 0.000 x2
2 Tb 0.000 0.333 0.000 x4
3 Sm 0.000 0.167 0.500 x4
4 Dy 0.246 0.500 0.250 x4
5 Dy 0.249 0.335 0.750 x8
6 Th 0.000 0.500 0.500 x2

formation energy: 25 meV/atom

---

Below is an optimized crystal structure of PmSc5Bi6, with properties calculated at the PBE level.

a = 7.480 Å, b = 12.972 Å, c = 7.495 Å
α = 90.00°, β = 109.61°, γ = 90.00°
Space group C2/m (No. 12)
One atom of each set of equivalent atoms:
1 Pm 0.000 0.000 0.000 x2
2 Sc 0.000 0.160 0.500 x4
3 Sc 0.000 0.331 0.000 x4
4 Sc 0.000 0.500 0.500 x2
5 Bi 0.237 0.500 0.253 x4
6 Bi 0.240 0.327 0.740 x8

formation energy: -696 meV/atom

---

Below is an optimized crystal structure of Ta2MnPt, with properties calculated at the PBE level.

a = 2.8829 Å, b = 2.8829 Å, c = 27.6814 Å
α = 90.00°, β = 90.00°, γ = 120.00°
Space group R3m (No. 160, hexagonal axes)
One atom of each set of equivalent atoms:
1 Ta 0.0000 0.0000 0.0000 x3
2 Ta 0.0000 0.0000 0.2410 x3
3 Mn 0.0000 0.0000 0.7459 x3
4 Pt 0.0000 0.0000 0.4917 x3

formation energy: -18 meV/atom

---

Below is an optimized crystal structure of Ce2TmSb3, with properties calculated at the PBE level.

a = 4.447 Å, b = 6.298 Å, c = 13.325 Å
α = 90.00°, β = 90.00°, γ = 90.00°
Space group Immm (No. 71)
One atom of each set of equivalent atoms:
1 Ce 0.000 0.000 0.168 x4
2 Tm 0.000 0.000 0.500 x2
3 Sb 0.000 0.500 0.161 x4
4 Sb 0.000 0.500 0.500 x2

E_form (uncorrected): -1.043 eV/atom

---

Below is an optimized crystal structure of Th7Tc2Pb2, with properties calculated at the PBE level.

a = 11.374 Å, b = 8.555 Å, c = 7.024 Å
α = 90.00°, β = 93.54°, γ = 90.00°
Space group C2/m (No. 12)
One atom of each set of equivalent atoms:
1 Th 0.000 0.000 0.000 x2
2 Th 0.019 0.500 0.769 x4
3 Th 0.238 0.268 0.255 x8
4 Tc 0.250 0.000 0.025 x4
5 Pb 0.000 0.179 0.500 x4

formation energy: -23 meV/atom

---

Below is an optimized crystal structure of In2Te2S, with properties calculated at the PBE level.

a = 15.951 Å, b = 4.397 Å, c = 11.996 Å
α = 90.00°, β = 116.03°, γ = 90.00°
Space group C2/m (No. 12)
One atom of each set of equivalent atoms:
1 In 0.162 0.000 0.021 x4
2 In 0.215 0.000 0.361 x4
3 Te 0.134 0.500 0.854 x4
4 Te 0.155 0.000 0.558 x4
5 S 0.084 0.000 0.156 x4

E_form (uncorrected): -0.366 eV/atom

---

Below is an optimized crystal structure of Rb5Br, with properties calculated at the PBE level.

a = 4.873 Å, b = 25.146 Å, c = 7.811 Å
α = 90.00°, β = 90.00°, γ = 90.00°
Space group Cmmm (No. 65)
One atom of each set of equivalent atoms:
1 Rb 0.000 0.000 0.000 x2
2 Rb 0.000 0.099 0.500 x4
3 Rb 0.000 0.328 0.000 x4
4 Br 0.000 0.500 0.500 x2

E_form (uncorrected): -0.453 eV/atom

---

Below is an optimized crystal structure of Tm2AgGe, with properties calculated at the PBE level.

a = 4.3129 Å, b = 4.3129 Å, c = 18.8149 Å
α = 90.00°, β = 90.00°, γ = 120.00°
Space group R-3m (No. 166, hexagonal axes)
One atom of each set of equivalent atoms:
1 Tm 0.0000 0.0000 0.2434 x6
2 Ag 0.0000 0.0000 0.0000 x3
3 Ge 0.0000 0.0000 0.5000 x3

formation energy: -416 meV/atom

---

Below is an optimized crystal structure of DyHo2MgAu4, with properties calculated at the PBE level.

a = 4.9877 Å, b = 4.9877 Å, c = 24.5692 Å
α = 90.00°, β = 90.00°, γ = 120.00°
Space group R-3m (No. 166, hexagonal axes)
One atom of each set of equivalent atoms:
1 Dy 0.0000 0.0000 0.0000 x3
2 Ho 0.0000 0.0000 0.2451 x6
3 Mg 0.0000 0.0000 0.5000 x3
4 Au 0.0000 0.0000 0.1230 x6
5 Au 0.0000 0.0000 0.3728 x6

formation energy: -819 meV/atom

---

What did we get for uncorrected energy? Answer: -34.98, -318.49, -28.15, -116.12, -136.09, -116.97, -69.92, -160.68, -70.87, -18.46, -54.23, -105.05 eV for the cell shown, in the order shown.